(1)
Density functional theory data (PBE) for a relaxed ScPbSe crystal.

Magnetic moment   0.000 μB/f.u.
Space group   No. 156
Electronic total energy   -5.21 eV/atom
Raw formation energy   -706 meV per atom

Cell lengths 3.6976, 3.6976, 6.8824 Å; angles 90.00, 90.00, 120.00 degrees
Element x y z (fractional)
Sc1 0.0000 0.0000 0.0000
Pb1 0.6667 0.3333 0.6303
Se1 0.3333 0.6667 0.2174

=====

(2)
Density functional theory data (PBE) for a relaxed NaMo3Ru crystal.

Magnetic moment   0.000 μB/f.u.
Energy relative to the elements   2682 meV per atom
Space group   No. 221
Electronic total energy   -5.94 eV/atom

Cell lengths 4.4294, 4.4294, 4.4294 Å; angles 90.00, 90.00, 90.00 degrees
Element x y z (fractional)
Na1 0.0000 0.0000 0.0000
Mo1 0.0000 0.0000 0.5000
Mo2 0.0000 0.5000 0.0000
Mo3 0.5000 0.0000 0.0000
Ru1 0.5000 0.5000 0.5000

=====

(3)
Density functional theory data (PBE) for a relaxed Tb6Tl5Ag crystal.

Magnetic moment   0.008 μB/f.u.
Energy relative to the elements   -343 meV per atom
Space group   No. 65
Electronic total energy   -3.88 eV/atom

Cell lengths 8.4869, 8.4869, 7.5407 Å; angles 90.00, 90.00, 143.14 degrees
Element x y z (fractional)
Tb1 0.0000 0.0000 0.2449
Tb2 0.0000 0.0000 0.7551
Tb3 0.3358 0.6642 0.2460
Tb4 0.3358 0.6642 0.7540
Tb5 0.6642 0.3358 0.2460
Tb6 0.6642 0.3358 0.7540
Tl1 0.1628 0.8372 0.0000
Tl2 0.1675 0.8325 0.5000
Tl3 0.5000 0.5000 0.5000
Tl4 0.8325 0.1675 0.5000
Tl5 0.8372 0.1628 0.0000
Ag1 0.5000 0.5000 0.0000

=====

(4)
Density functional theory data (PBE) for a relaxed TmCdPd6 crystal.

Magnetic moment   0.000 μB/f.u.
Energy relative to the elements   -276 meV per atom
Space group   No. 12
Electronic total energy   -4.84 eV/atom

Cell lengths 4.9542, 4.9542, 7.1862 Å; angles 104.30, 104.30, 65.73 degrees
Element x y z (fractional)
Tm1 0.0000 0.0000 0.0000
Cd1 0.5000 0.5000 0.5000
Pd1 0.0350 0.5528 0.1991
Pd2 0.1381 0.1381 0.4349
Pd3 0.4472 0.9650 0.8009
Pd4 0.5528 0.0350 0.1991
Pd5 0.8619 0.8619 0.5651
Pd6 0.9650 0.4472 0.8009

=====

(5)
Density functional theory data (PBE) for a relaxed HfTlRu2F crystal.

Magnetic moment   1.781 μB/f.u.
Space group   No. 123
Electronic total energy   -5.55 eV/atom
Raw formation energy   997 meV per atom

Cell lengths 5.0334, 5.0334, 4.2468 Å; angles 90.00, 90.00, 90.00 degrees
Element x y z (fractional)
Hf1 0.0000 0.0000 0.0000
Tl1 0.5000 0.5000 0.5000
Ru1 0.0000 0.5000 0.5000
Ru2 0.5000 0.0000 0.5000
F1 0.5000 0.5000 0.0000

=====

(6)
Density functional theory data (PBE) for a relaxed BaGe2As2 crystal.

Magnetic moment   0.000 μB/f.u.
Energy relative to the elements   -364 meV per atom
Space group   No. 2
Electronic total energy   -4.46 eV/atom

Cell lengths 5.9641, 7.1067, 7.7550 Å; angles 81.63, 67.41, 67.80 degrees
Element x y z (fractional)
Ba1 0.1491 0.2496 0.2026
Ba2 0.8509 0.7504 0.7974
Ge1 0.2795 0.0862 0.7434
Ge2 0.4768 0.4144 0.7437
Ge3 0.5232 0.5856 0.2563
Ge4 0.7205 0.9138 0.2566
As1 0.1959 0.7495 0.1074
As2 0.4733 0.7503 0.5516
As3 0.5267 0.2497 0.4484
As4 0.8041 0.2505 0.8926

=====

electronic total energy of number 4 (TmCdPd6)?
-4.84 eV/atom

=====

Which of these has the highest magnetic moment?
HfTlRu2F

=====

Among the records above, which one has the lowest electronic total energy?
NaMo3Ru